Material: DyTcPbO6
Method: DFT, GGA-PBE
State: optimized geometry

```
DyTcPbO6
1.0
5.583 0.000 0.000
-2.791 4.835 0.000
0.000 0.000 5.111
Dy Tc Pb O
1 1 1 6
Cartesian
0.000 0.000 0.000 Dy
0.000 3.223 0.000 Tc
2.791 1.612 2.556 Pb
-0.715 1.824 1.090 O
-1.569 3.304 4.022 O
0.715 1.824 4.022 O
-0.855 4.542 1.090 O
1.569 3.304 1.090 O
0.855 4.542 4.022 O
```

## Properties
The crystal system is trigonal. The calculation puts the energy at -0.53018 Ry/atom. The value obtained for the density of states at the Fermi level is 0.0133 states/eV/atom. For the uncorrected formation energy, the calculation gives -1.83 eV/atom.

---

Material: Dy2TcPbO8
Method: DFT, GGA-PBE
State: optimized geometry

```
Dy2TcPbO8
1.0
3.492 -3.587 0.000
3.492 3.587 0.000
0.000 0.000 6.864
Dy Tc Pb O
2 1 1 8
Cartesian
0.000 0.000 1.684 Dy
0.000 0.000 5.179 Dy
3.492 0.000 0.000 Tc
3.492 0.000 3.432 Pb
1.335 0.000 3.432 O
1.589 0.000 0.000 O
3.492 1.310 1.422 O
3.492 1.310 5.442 O
3.492 -1.310 1.422 O
3.492 -1.310 5.442 O
5.395 0.000 0.000 O
5.650 0.000 3.432 O
```

## Properties
The crystal system is orthorhombic. The calculation puts the energy at -0.54068 Ry/atom. The value obtained for the density of states at the Fermi level is 0.1793 states/eV/atom. For the uncorrected formation energy, the calculation gives -2.11 eV/atom.

---

Material: DyTePbO6
Method: DFT, GGA-PBE
State: optimized geometry

```
DyTePbO6
1.0
5.680 0.000 0.000
-2.840 4.919 0.000
0.000 0.000 9.593
Dy Te Pb O
2 2 2 12
Cartesian
0.000 3.280 2.398 Dy
2.840 1.640 7.195 Dy
0.000 3.280 7.195 Te
2.840 1.640 2.398 Te
0.000 0.000 0.000 Pb
0.000 0.000 4.797 Pb
-0.857 1.885 6.114 O
-1.636 3.234 8.276 O
0.857 1.885 8.276 O
-0.779 4.719 6.114 O
2.061 0.200 1.317 O
1.204 1.685 3.479 O
1.636 3.234 6.114 O
0.779 4.719 8.276 O
3.619 0.200 3.479 O
1.983 3.034 1.317 O
4.476 1.685 1.317 O
3.698 3.034 3.479 O
```

## Properties
The crystal system is trigonal. The calculation puts the energy at -0.45877 Ry/atom. The value obtained for the density of states at the Fermi level is 0.4358 states/eV/atom. For the uncorrected formation energy, the calculation gives -1.66 eV/atom.